i.
# PBE RbNaHg, optimized geometry
data_RbNaHg
_cell_length_a 4.2704
_cell_length_b 4.2704
_cell_length_c 7.3558
_cell_angle_alpha 106.87
_cell_angle_beta 106.87
_cell_angle_gamma 90.00
_space_group_name_H-M_alt 'P 1'
_space_group_IT_number 1
_space_group_name_Hall 'P 1'
loop_
_atom_site_label
_atom_site_type_symbol
_atom_site_fract_x
_atom_site_fract_y
_atom_site_fract_z
_atom_site_occupancy
Hg1 Hg 0.6951 0.6951 0.3902 1
Na1 Na 0.2916 0.2916 0.5832 1
Rb1 Rb 0.0133 0.0133 0.0266 1
# - M_tot: 0.0 Bohr magnetons per cell

=====

ii.
# PBE RbNaHg, optimized geometry
data_RbNaHg
_cell_length_a 4.9503
_cell_length_b 5.4984
_cell_length_c 5.4984
_cell_angle_alpha 120.00
_cell_angle_beta 90.00
_cell_angle_gamma 90.00
_space_group_name_H-M_alt 'P 1'
_space_group_IT_number 1
_space_group_name_Hall 'P 1'
loop_
_atom_site_label
_atom_site_type_symbol
_atom_site_fract_x
_atom_site_fract_y
_atom_site_fract_z
_atom_site_occupancy
Na1 Na 0.1664 0.3333 0.6667 1
Rb1 Rb 0.6665 0.6667 0.3333 1
Hg1 Hg 0.1671 0.0000 0.0000 1
# - M_tot: 0.0 Bohr magnetons per cell

=====

i takes first place; second place is 6 meV per atom up.

=====

i.
# PBE RbNaHg, optimized geometry
data_RbNaHg
_cell_length_a 5.8362
_cell_length_b 5.8362
_cell_length_c 5.8362
_cell_angle_alpha 60.00
_cell_angle_beta 60.00
_cell_angle_gamma 60.00
_space_group_name_H-M_alt 'P 1'
_space_group_IT_number 1
_space_group_name_Hall 'P 1'
loop_
_atom_site_label
_atom_site_type_symbol
_atom_site_fract_x
_atom_site_fract_y
_atom_site_fract_z
_atom_site_occupancy
Rb1 Rb 0.0000 0.0000 0.0000 1
Na1 Na 0.5000 0.5000 0.5000 1
Hg1 Hg 0.2500 0.2500 0.2500 1
# - M_tot: 0.0 Bohr magnetons per cell

=====

ii.
# PBE RbNaHg, optimized geometry
data_RbNaHg
_cell_length_a 4.8166
_cell_length_b 7.4396
_cell_length_c 8.4631
_cell_angle_alpha 116.08
_cell_angle_beta 106.53
_cell_angle_gamma 90.00
_space_group_name_H-M_alt 'P 1'
_space_group_IT_number 1
_space_group_name_Hall 'P 1'
loop_
_atom_site_label
_atom_site_type_symbol
_atom_site_fract_x
_atom_site_fract_y
_atom_site_fract_z
_atom_site_occupancy
Hg1 Hg 0.1190 0.4916 0.8671 1
Hg2 Hg 0.3255 0.6980 0.2802 1
Rb1 Rb 0.0232 0.8958 0.6756 1
Rb2 Rb 0.4213 0.2938 0.4717 1
Na1 Na 0.7222 0.3615 0.0736 1
Na2 Na 0.7222 0.8281 0.0736 1
# - M_tot: 0.0 Bohr magnetons per cell

=====

ii takes first place; second place is 60 meV per atom up.

=====

i.
# PBE RbNaHg, optimized geometry
data_RbNaHg
_cell_length_a 5.0287
_cell_length_b 5.6946
_cell_length_c 10.9444
_cell_angle_alpha 96.41
_cell_angle_beta 89.69
_cell_angle_gamma 62.98
_space_group_name_H-M_alt 'P 1'
_space_group_IT_number 1
_space_group_name_Hall 'P 1'
loop_
_atom_site_label
_atom_site_type_symbol
_atom_site_fract_x
_atom_site_fract_y
_atom_site_fract_z
_atom_site_occupancy
Hg1 Hg 0.9730 0.5535 0.8676 1
Hg2 Hg 0.0270 0.4465 0.1324 1
Rb1 Rb 0.3326 0.8364 0.6679 1
Rb2 Rb 0.6674 0.1636 0.3321 1
Na1 Na 0.3419 0.8145 0.0616 1
Na2 Na 0.6581 0.1855 0.9384 1
# - M_tot: 0.0 Bohr magnetons per cell

=====

ii.
# PBE RbNaHg, optimized geometry
data_RbNaHg
_cell_length_a 8.9699
_cell_length_b 10.4169
_cell_length_c 10.4169
_cell_angle_alpha 60.75
_cell_angle_beta 64.50
_cell_angle_gamma 64.50
_space_group_name_H-M_alt 'P 1'
_space_group_IT_number 1
_space_group_name_Hall 'P 1'
loop_
_atom_site_label
_atom_site_type_symbol
_atom_site_fract_x
_atom_site_fract_y
_atom_site_fract_z
_atom_site_occupancy
Hg1 Hg 0.5902 0.1663 0.1668 1
Hg2 Hg 0.2577 0.7496 0.2496 1
Hg3 Hg 0.9233 0.3332 0.3337 1
Hg4 Hg 0.9233 0.8337 0.8332 1
Hg5 Hg 0.2569 0.2504 0.7504 1
Hg6 Hg 0.5902 0.6668 0.6663 1
Na1 Na 0.2567 0.8835 0.8822 1
Na2 Na 0.2567 0.3822 0.3835 1
Na3 Na 0.0224 0.1165 0.1178 1
Na4 Na 0.0224 0.6178 0.6165 1
Na5 Na 0.4917 0.5000 0.5000 1
Na6 Na 0.4917 0.0000 0.0000 1
Rb1 Rb 0.8428 0.2502 0.7502 1
Rb2 Rb 0.2566 0.4572 0.9572 1
Rb3 Rb 0.2569 0.9568 0.4568 1
Rb4 Rb 0.6710 0.5428 0.0428 1
Rb5 Rb 0.6704 0.0432 0.5432 1
Rb6 Rb 0.8433 0.7498 0.2498 1
# - M_tot: 0.0 Bohr magnetons per cell

=====

ii takes first place; second place is 20 meV per atom up.

=====

i.
# PBE Rb2Na3Hg4, optimized geometry
data_Rb2Na3Hg4
_cell_length_a 8.6874
_cell_length_b 8.9051
_cell_length_c 8.7199
_cell_angle_alpha 90.00
_cell_angle_beta 90.00
_cell_angle_gamma 109.36
_space_group_name_H-M_alt 'P 1'
_space_group_IT_number 1
_space_group_name_Hall 'P 1'
loop_
_atom_site_label
_atom_site_type_symbol
_atom_site_fract_x
_atom_site_fract_y
_atom_site_fract_z
_atom_site_occupancy
Hg1 Hg 0.1282 0.4980 0.8728 1
Hg2 Hg 0.6215 0.9142 0.0472 1
Hg3 Hg 0.1215 0.9142 0.4528 1
Hg4 Hg 0.8718 0.5020 0.1272 1
Hg5 Hg 0.3718 0.5020 0.3728 1
Hg6 Hg 0.3785 0.0858 0.9528 1
Hg7 Hg 0.6282 0.4980 0.6272 1
Hg8 Hg 0.8785 0.0858 0.5472 1
Na1 Na 0.7524 0.2574 0.8291 1
Na2 Na 0.5000 0.5000 0.0000 1
Na3 Na 0.2524 0.2574 0.6709 1
Na4 Na 0.7476 0.7426 0.3291 1
Na5 Na 0.2476 0.7426 0.1709 1
Na6 Na 0.0000 0.5000 0.5000 1
Rb1 Rb 0.0577 0.1868 0.1642 1
Rb2 Rb 0.4423 0.8132 0.6642 1
Rb3 Rb 0.9423 0.8132 0.8358 1
Rb4 Rb 0.5577 0.1868 0.3358 1
# - M_tot: 0.0 Bohr magnetons per cell

=====

ii.
# PBE Rb2Na3Hg4, optimized geometry
data_Rb2Na3Hg4
_cell_length_a 6.8954
_cell_length_b 9.6845
_cell_length_c 10.0533
_cell_angle_alpha 90.00
_cell_angle_beta 110.06
_cell_angle_gamma 90.00
_space_group_name_H-M_alt 'P 1'
_space_group_IT_number 1
_space_group_name_Hall 'P 1'
loop_
_atom_site_label
_atom_site_type_symbol
_atom_site_fract_x
_atom_site_fract_y
_atom_site_fract_z
_atom_site_occupancy
Hg1 Hg 0.1987 0.7500 0.8973 1
Hg2 Hg 0.8013 0.2500 0.1027 1
Hg3 Hg 0.6987 0.7500 0.8973 1
Hg4 Hg 0.8138 0.0290 0.6276 1
Hg5 Hg 0.3138 0.4710 0.6276 1
Hg6 Hg 0.1862 0.9710 0.3724 1
Hg7 Hg 0.3013 0.2500 0.1027 1
Hg8 Hg 0.6862 0.5290 0.3724 1
Rb1 Rb 0.1108 0.5900 0.2215 1
Rb2 Rb 0.8892 0.4100 0.7785 1
Rb3 Rb 0.3892 0.0900 0.7785 1
Rb4 Rb 0.6108 0.9100 0.2215 1
Na1 Na 0.9673 0.2500 0.4346 1
Na2 Na 0.5327 0.7500 0.5654 1
Na3 Na 0.0327 0.7500 0.5654 1
Na4 Na 0.4673 0.2500 0.4346 1
Na5 Na 0.5000 0.5000 0.0000 1
Na6 Na 0.0000 0.0000 0.0000 1
# - M_tot: 0.0 Bohr magnetons per cell

=====

i takes first place; second place is 28 meV per atom up.